# 1
VASP calculation (PBE-GGA) on a relaxed structure of Sb2HW.

Lattice parameters (Å, degrees): 4.684 4.684 4.684 60.00 60.00 60.00
Last column: magnetic moment on the atom in μB.
Sites, in units of the cell vectors:
1 Sb 0.750 0.750 0.750  -0.03
2 Sb 0.250 0.250 0.250  -0.03
3 H 0.000 0.000 0.000  -0.02
4 W 0.500 0.500 0.500  0.85

## Properties
* N(E_F): 1.60 states/eV/cell
* E: -5.241 eV per atom

=====

# 2
VASP calculation (PBE-GGA) on a relaxed structure of SbHW3.

Lattice parameters (Å, degrees): 4.137 4.137 4.137 90.00 90.00 90.00
Sites, in units of the cell vectors:
1 W 0.500 0.000 0.000
2 W 0.000 0.500 0.000
3 W 0.000 0.000 0.500
4 Sb 0.500 0.500 0.500
5 H 0.000 0.000 0.000

## Properties
* N(E_F): 6.08 states/eV/cell
* E: -8.602 eV per atom

=====

# 3
VASP calculation (PBE-GGA) on a relaxed structure of Sb3HW.

Lattice parameters (Å, degrees): 4.605 4.605 4.605 90.00 90.00 90.00
Last column: magnetic moment on the atom in μB.
Sites, in units of the cell vectors:
1 Sb 0.500 0.000 0.000  -0.01
2 Sb 0.000 0.000 0.500  0.00
3 Sb 0.000 0.500 0.000  -0.04
4 W 0.500 0.500 0.500  1.90
5 H 0.000 0.000 0.000  0.00

## Properties
* N(E_F): 3.27 states/eV/cell
* E: -4.691 eV per atom

=====

# 4
VASP calculation (PBE-GGA) on a relaxed structure of SbH3W.

Lattice parameters (Å, degrees): 3.712 3.712 3.712 90.00 90.00 90.00
Sites, in units of the cell vectors:
1 H 0.000 0.000 0.500
2 H 0.000 0.500 0.000
3 H 0.500 0.000 0.000
4 W 0.000 0.000 0.000
5 Sb 0.500 0.500 0.500

## Properties
* N(E_F): 1.98 states/eV/cell
* E: -4.828 eV per atom